(1)
Computed, not measured: an optimized crystal structure of CaAcSiPt at the PBE level of DFT.

Values from the calculation:
ΔE_f (raw) in eV per atom: -0.8120
N(E_F) in states/eV/cell: 2.75
Space-group type: Amm2, No. 38

Cell: 4.5147 4.2921 5.9179 Å, 90.00 112.42 90.00°
Fractional coordinates of all 4 atoms:
1 Pt 0.3369 0.0000 0.6739
2 Si 0.4537 0.5000 0.9075
3 Ac 0.7470 0.5000 0.4939
4 Ca 0.0320 0.0000 0.0640


(2)
Computed, not measured: an optimized crystal structure of CaAc2Si3Pt4 at the PBE level of DFT.

Values from the calculation:
ΔE_f (raw) in eV per atom: -0.9773
N(E_F) in states/eV/cell: 4.56
Space-group type: P-4m2, No. 115

Cell: 4.4157 4.4157 10.7456 Å, 90.00 90.00 90.00°
Fractional coordinates of all 10 atoms:
1 Pt 0.0000 0.5000 0.3403
2 Pt 0.0000 0.0000 0.0000
3 Pt 0.5000 0.5000 0.0000
4 Pt 0.5000 0.0000 0.6597
5 Ca 0.5000 0.5000 0.5000
6 Ac 0.0000 0.5000 0.7647
7 Ac 0.5000 0.0000 0.2353
8 Si 0.5000 0.0000 0.8863
9 Si 0.0000 0.5000 0.1137
10 Si 0.0000 0.0000 0.5000


(3)
Computed, not measured: an optimized crystal structure of CaAcSi2Pt5 at the PBE level of DFT.

Values from the calculation:
ΔE_f (raw) in eV per atom: -0.9203
N(E_F) in states/eV/cell: 5.42
Space-group type: P4/mmm, No. 123

Cell: 4.2948 4.2948 9.2097 Å, 90.00 90.00 90.00°
Fractional coordinates of all 9 atoms:
1 Ca 0.0000 0.0000 0.0000
2 Ac 0.0000 0.0000 0.5000
3 Si 0.5000 0.5000 0.8690
4 Si 0.5000 0.5000 0.1310
5 Pt 0.5000 0.0000 0.7477
6 Pt 0.5000 0.5000 0.5000
7 Pt 0.5000 0.0000 0.2523
8 Pt 0.0000 0.5000 0.2523
9 Pt 0.0000 0.5000 0.7477


(4)
Computed, not measured: an optimized crystal structure of CaAcSi2Pt2 at the PBE level of DFT.

Values from the calculation:
ΔE_f (raw) in eV per atom: -0.9953
N(E_F) in states/eV/cell: 5.09
Space-group type: P-3m1, No. 164

Cell: 4.1819 4.1819 8.9687 Å, 90.00 90.00 120.00°
Fractional coordinates of all 6 atoms:
1 Ac 0.0000 0.0000 0.0000
2 Si 0.6667 0.3333 0.7408
3 Si 0.3333 0.6667 0.2592
4 Ca 0.0000 0.0000 0.5000
5 Pt 0.6667 0.3333 0.2630
6 Pt 0.3333 0.6667 0.7370


(5)
Computed, not measured: an optimized crystal structure of CaAcSiPt at the PBE level of DFT.

Values from the calculation:
ΔE_f (raw) in eV per atom: -0.6216
N(E_F) in states/eV/cell: 2.73
Space-group type: F-43m, No. 216

Cell: 5.2366 5.2366 5.2366 Å, 60.00 60.00 60.00°
Fractional coordinates of all 4 atoms:
1 Pt 0.7500 0.7500 0.7500
2 Si 0.2500 0.2500 0.2500
3 Ca 0.5000 0.5000 0.5000
4 Ac 0.0000 0.0000 0.0000


(6)
Computed, not measured: an optimized crystal structure of CaAc2Si3Pt12 at the PBE level of DFT.

Values from the calculation:
ΔE_f (raw) in eV per atom: -0.5206
N(E_F) in states/eV/cell: 8.08
Space-group type: R-3m, No. 166

Cell: 7.8046 7.8046 7.8046 Å, 65.41 65.41 65.41°
Fractional coordinates of all 18 atoms:
1 Pt 0.6544 0.6544 0.0969
2 Pt 0.1384 0.1384 0.6068
3 Pt 0.1384 0.6068 0.1384
4 Pt 0.3932 0.8616 0.8616
5 Pt 0.0969 0.6544 0.6544
6 Pt 0.3456 0.3456 0.9031
7 Pt 0.3456 0.9031 0.3456
8 Pt 0.9031 0.3456 0.3456
9 Pt 0.6544 0.0969 0.6544
10 Pt 0.8616 0.3932 0.8616
11 Pt 0.8616 0.8616 0.3932
12 Pt 0.6068 0.1384 0.1384
13 Si 0.0000 0.5000 0.0000
14 Si 0.0000 0.0000 0.5000
15 Si 0.5000 0.0000 0.0000
16 Ac 0.6052 0.6052 0.6052
17 Ac 0.3948 0.3948 0.3948
18 Ca 0.0000 0.0000 0.0000


(7)
Computed, not measured: an optimized crystal structure of SrCaAc2Pt at the PBE level of DFT.

Values from the calculation:
N(E_F) in states/eV/cell: 4.19
Energy relative to the elements in eV/atom: -0.47
Space-group type: P4/mmm, No. 123

Cell: 5.9417 5.9629 5.9629 Å, 90.00 90.00 90.00°
Fractional coordinates of all 5 atoms:
1 Pt 0.0000 0.0000 0.0000
2 Ac 0.0000 0.5000 0.0000
3 Ac 0.0000 0.0000 0.5000
4 Ca 0.5000 0.0000 0.0000
5 Sr 0.5000 0.5000 0.5000


(8)
Computed, not measured: an optimized crystal structure of SrCaAcPt2 at the PBE level of DFT.

Values from the calculation:
N(E_F) in states/eV/cell: 4.72
Energy relative to the elements in eV/atom: -0.86
Space-group type: C2/m, No. 12

Cell: 4.3824 8.4049 9.8880 Å, 105.00 90.00 105.11°
Fractional coordinates of all 10 atoms:
1 Pt 0.1635 0.3270 0.8278
2 Pt 0.8365 0.6730 0.1722
3 Pt 0.3349 0.6697 0.6776
4 Pt 0.6651 0.3303 0.3224
5 Sr 0.9704 0.9407 0.7158
6 Sr 0.0296 0.0593 0.2842
7 Ac 0.7003 0.4006 0.6411
8 Ac 0.2997 0.5994 0.3589
9 Ca 0.3461 0.6923 0.9798
10 Ca 0.6539 0.3077 0.0202


(9)
Computed, not measured: an optimized crystal structure of CaAcTlPt at the PBE level of DFT.

Values from the calculation:
N(E_F) in states/eV/cell: 3.35
Energy relative to the elements in eV/atom: -0.59
Space-group type: F-43m, No. 216

Cell: 5.4221 5.4221 5.4221 Å, 60.00 60.00 60.00°
Fractional coordinates of all 4 atoms:
1 Ca 0.5000 0.5000 0.5000
2 Tl 0.2500 0.2500 0.2500
3 Pt 0.7500 0.7500 0.7500
4 Ac 0.0000 0.0000 0.0000


(10)
Computed, not measured: an optimized crystal structure of Ca2AcTlPt at the PBE level of DFT.

Values from the calculation:
N(E_F) in states/eV/cell: 4.45
Energy relative to the elements in eV/atom: -0.52
Space-group type: P4/mmm, No. 123

Cell: 5.5858 5.5858 5.8039 Å, 90.00 90.00 90.00°
Fractional coordinates of all 5 atoms:
1 Tl 0.5000 0.5000 0.5009
2 Ca 0.0000 0.5000 0.9995
3 Ca 0.5000 0.0000 0.9995
4 Ac 0.0000 0.0000 0.5000
5 Pt 0.0000 0.0000 0.0002


(11)
Computed, not measured: an optimized crystal structure of CaAcZnPt at the PBE level of DFT.

Values from the calculation:
N(E_F) in states/eV/cell: 2.64
Energy relative to the elements in eV/atom: -0.62
Space-group type: F-43m, No. 216

Cell: 5.2556 5.2556 5.2556 Å, 60.00 60.00 60.00°
Fractional coordinates of all 4 atoms:
1 Zn 0.2500 0.2500 0.2500
2 Ac 0.0000 0.0000 0.0000
3 Ca 0.5000 0.5000 0.5000
4 Pt 0.7500 0.7500 0.7500


(12)
Computed, not measured: an optimized crystal structure of CaAc2Zn3Pt4 at the PBE level of DFT.

Values from the calculation:
N(E_F) in states/eV/cell: 4.91
Energy relative to the elements in eV/atom: -0.80
Space-group type: P-4m2, No. 115

Cell: 4.2982 4.2982 11.8238 Å, 90.00 90.00 90.00°
Fractional coordinates of all 10 atoms:
1 Zn 0.0000 0.0000 0.5000
2 Zn 0.5000 0.0000 0.8802
3 Zn 0.0000 0.5000 0.1198
4 Ac 0.0000 0.5000 0.7706
5 Ac 0.5000 0.0000 0.2294
6 Ca 0.5000 0.5000 0.5000
7 Pt 0.0000 0.5000 0.3382
8 Pt 0.0000 0.0000 0.0000
9 Pt 0.5000 0.0000 0.6618
10 Pt 0.5000 0.5000 0.0000


(13)
Computed, not measured: an optimized crystal structure of CaAcZnPt at the PBE level of DFT.

Values from the calculation:
N(E_F) in states/eV/cell: 2.21
Energy relative to the elements in eV/atom: -0.71
Space-group type: Amm2, No. 38

Cell: 4.2662 4.3444 6.2375 Å, 90.00 110.00 90.00°
Fractional coordinates of all 4 atoms:
1 Zn 0.5718 0.5000 0.1437
2 Ca 0.1397 0.0000 0.2794
3 Pt 0.4273 0.0000 0.8546
4 Ac 0.8612 0.5000 0.7224


(14)
Computed, not measured: an optimized crystal structure of CaAcZn2Pt2 at the PBE level of DFT.

Values from the calculation:
N(E_F) in states/eV/cell: 4.35
Energy relative to the elements in eV/atom: -0.82
Space-group type: P-3m1, No. 164

Cell: 4.4890 4.4890 7.7418 Å, 90.00 90.00 120.00°
Fractional coordinates of all 6 atoms:
1 Zn 0.3333 0.6667 0.2853
2 Zn 0.6667 0.3333 0.7147
3 Ac 0.0000 0.0000 0.0000
4 Ca 0.0000 0.0000 0.5000
5 Pt 0.6667 0.3333 0.2604
6 Pt 0.3333 0.6667 0.7396


(15)
Computed, not measured: an optimized crystal structure of CaAc2Pu at the PBE level of DFT.

Values from the calculation:
N(E_F) in states/eV/cell: 12.44
Energy relative to the elements in eV/atom: 0.21
Space-group type: P4/mmm, No. 123

Cell: 4.0564 6.2156 6.2156 Å, 90.00 90.00 90.00°
Last column: magnetic moment on the atom in μB.
Fractional coordinates of all 4 atoms:
1 Pu 0.5000 0.0000 0.0000  5.72
2 Ca 0.5000 0.5000 0.5000  0.01
3 Ac 0.0000 0.0000 0.5000  0.15
4 Ac 0.0000 0.5000 0.0000  0.15


(16)
Computed, not measured: an optimized crystal structure of CaAc4Pu at the PBE level of DFT.

Values from the calculation:
N(E_F) in states/eV/cell: 25.44
Energy relative to the elements in eV/atom: 0.42
Space-group type: F-43m, No. 216

Cell: 7.3007 7.3007 7.3007 Å, 60.00 60.00 60.00°
Last column: magnetic moment on the atom in μB.
Fractional coordinates of all 6 atoms:
1 Ca 0.2500 0.2500 0.2500  -0.01
2 Pu 0.0000 0.0000 0.0000  5.71
3 Ac 0.6253 0.6253 0.6253  0.04
4 Ac 0.6253 0.1240 0.6253  0.04
5 Ac 0.6253 0.6253 0.1240  0.04
6 Ac 0.1240 0.6253 0.6253  0.04


(17)
Computed, not measured: an optimized crystal structure of CaAc2Pu at the PBE level of DFT.

Values from the calculation:
N(E_F) in states/eV/cell: 9.46
Energy relative to the elements in eV/atom: 0.15
Space-group type: P4/mmm, No. 123

Cell: 3.8086 3.8086 10.9129 Å, 90.00 90.00 90.00°
Last column: magnetic moment on the atom in μB.
Fractional coordinates of all 4 atoms:
1 Pu 0.5000 0.5000 0.0000  5.63
2 Ac 0.0000 0.0000 0.2303  0.05
3 Ac 0.0000 0.0000 0.7697  0.05
4 Ca 0.5000 0.5000 0.5000  -0.06


(18)
Computed, not measured: an optimized crystal structure of CaAc2Pu at the PBE level of DFT.

Values from the calculation:
N(E_F) in states/eV/cell: 11.04
Energy relative to the elements in eV/atom: 0.17
Space-group type: R3m, No. 160

Cell: 3.8540 3.8540 12.6019 Å, 81.20 81.20 60.00°
Last column: magnetic moment on the atom in μB.
Fractional coordinates of all 4 atoms:
1 Pu 0.6664 0.6664 0.0007  5.70
2 Ac 0.0782 0.0782 0.7654  0.03
3 Ac 0.2552 0.2552 0.2344  0.04
4 Ca 0.5001 0.5001 0.4996  -0.05


(19)
Computed, not measured: an optimized crystal structure of Ca2AcPuS4 at the PBE level of DFT.

Values from the calculation:
ΔE_f (raw) in eV per atom: -1.9443
N(E_F) in states/eV/cell: 13.08
Space-group type: P2/m, No. 10

Cell: 4.0969 7.1005 7.1444 Å, 109.43 90.00 90.00°
Last column: magnetic moment on the atom in μB.
Fractional coordinates of all 8 atoms:
1 S 0.0000 0.7634 0.2639  -0.02
2 S 0.0000 0.2366 0.7361  -0.02
3 S 0.5000 0.2413 0.2541  -0.04
4 S 0.5000 0.7587 0.7459  -0.04
5 Ca 0.5000 0.0000 0.5000  0.01
6 Ca 0.0000 0.5000 0.5000  0.02
7 Ac 0.5000 0.5000 0.0000  0.06
8 Pu 0.0000 0.0000 0.0000  5.47


(20)
Computed, not measured: an optimized crystal structure of CaAcPu2S4 at the PBE level of DFT.

Values from the calculation:
ΔE_f (raw) in eV per atom: -1.8444
N(E_F) in states/eV/cell: 21.89
Space-group type: P2/m, No. 10

Cell: 4.0685 7.0805 7.1126 Å, 70.46 90.00 90.00°
Last column: magnetic moment on the atom in μB.
Fractional coordinates of all 8 atoms:
1 S 0.0000 0.2331 0.2669  -0.04
2 S 0.5000 0.2407 0.7455  0.02
3 S 0.5000 0.7593 0.2545  0.02
4 S 0.0000 0.7669 0.7331  -0.04
5 Pu 0.5000 0.0000 0.5000  5.25
6 Pu 0.0000 0.0000 0.0000  -5.36
7 Ac 0.5000 0.5000 0.0000  -0.01
8 Ca 0.0000 0.5000 0.5000  0.00


(21)
Computed, not measured: an optimized crystal structure of Ca2AcPuSe4 at the PBE level of DFT.

Values from the calculation:
ΔE_f (raw) in eV per atom: -1.8053
N(E_F) in states/eV/cell: 14.39
Space-group type: P2/m, No. 10

Cell: 4.2658 7.4471 7.3905 Å, 70.62 90.00 90.00°
Last column: magnetic moment on the atom in μB.
Fractional coordinates of all 8 atoms:
1 Ca 0.0000 0.0000 0.0000  0.01
2 Ca 0.5000 0.0000 0.5000  0.02
3 Se 0.5000 0.2359 0.7627  -0.01
4 Se 0.5000 0.7641 0.2373  -0.01
5 Se 0.0000 0.7557 0.7569  -0.04
6 Se 0.0000 0.2443 0.2431  -0.04
7 Ac 0.0000 0.5000 0.5000  0.06
8 Pu 0.5000 0.5000 0.0000  5.56


(22)
Computed, not measured: an optimized crystal structure of CaAcPuSn at the PBE level of DFT.

Values from the calculation:
N(E_F) in states/eV/cell: 13.99
Energy relative to the elements in eV/atom: 0.00
Space-group type: F-43m, No. 216

Cell: 5.6194 5.6194 5.6194 Å, 60.00 60.00 60.00°
Last column: magnetic moment on the atom in μB.
Fractional coordinates of all 4 atoms:
1 Sn 0.2500 0.2500 0.2500  -0.05
2 Pu 0.0000 0.0000 0.0000  5.88
3 Ac 0.7500 0.7500 0.7500  0.49
4 Ca 0.5000 0.5000 0.5000  0.16


(23)
Computed, not measured: an optimized crystal structure of Ca3Ac2PuTe6 at the PBE level of DFT.

Values from the calculation:
ΔE_f (raw) in eV per atom: -1.4665
N(E_F) in states/eV/cell: 18.37
Space-group type: C2/m, No. 12

Cell: 4.5635 9.2171 10.2793 Å, 103.57 102.82 90.00°
Last column: magnetic moment on the atom in μB.
Fractional coordinates of all 12 atoms:
1 Te 0.9950 0.2465 0.9900  -0.03
2 Te 0.3335 0.9295 0.6669  -0.01
3 Te 0.6631 0.5944 0.3262  0.00
4 Te 0.0050 0.7535 0.0100  -0.03
5 Te 0.6665 0.0705 0.3331  -0.01
6 Te 0.3369 0.4056 0.6738  0.00
7 Ac 0.8352 0.6691 0.6705  0.03
8 Ac 0.1648 0.3309 0.3295  0.03
9 Ca 0.8321 0.1648 0.6642  0.01
10 Ca 0.1679 0.8352 0.3358  0.01
11 Ca 0.5000 0.5000 0.0000  0.01
12 Pu 0.5000 0.0000 0.0000  5.64


(24)
Computed, not measured: an optimized crystal structure of Ca2AcPuTe4 at the PBE level of DFT.

Values from the calculation:
ΔE_f (raw) in eV per atom: -1.4291
N(E_F) in states/eV/cell: 16.95
Space-group type: P2/m, No. 10

Cell: 4.5517 7.9483 7.8863 Å, 70.65 90.00 90.00°
Last column: magnetic moment on the atom in μB.
Fractional coordinates of all 8 atoms:
1 Te 0.5000 0.2371 0.7622  -0.01
2 Te 0.0000 0.2446 0.2436  -0.03
3 Te 0.5000 0.7629 0.2378  -0.01
4 Te 0.0000 0.7554 0.7564  -0.03
5 Ac 0.0000 0.5000 0.5000  0.05
6 Ca 0.5000 0.0000 0.5000  0.01
7 Ca 0.0000 0.0000 0.0000  0.01
8 Pu 0.5000 0.5000 0.0000  5.63


(25)
Computed, not measured: an optimized crystal structure of CaAcPu2Te4 at the PBE level of DFT.

Values from the calculation:
ΔE_f (raw) in eV per atom: -1.2834
N(E_F) in states/eV/cell: 30.02
Space-group type: P2/m, No. 10

Cell: 4.5322 7.8804 7.9184 Å, 70.49 90.00 90.00°
Last column: magnetic moment on the atom in μB.
Fractional coordinates of all 8 atoms:
1 Pu 0.0000 0.0000 0.0000  -5.50
2 Pu 0.5000 0.0000 0.5000  5.56
3 Te 0.0000 0.7561 0.7550  -0.02
4 Te 0.0000 0.2439 0.2450  -0.02
5 Te 0.5000 0.2370 0.7633  0.02
6 Te 0.5000 0.7630 0.2367  0.02
7 Ca 0.5000 0.5000 0.0000  -0.01
8 Ac 0.0000 0.5000 0.5000  0.01


(26)
Computed, not measured: an optimized crystal structure of CaAcPuTl at the PBE level of DFT.

Values from the calculation:
N(E_F) in states/eV/cell: 12.04
Energy relative to the elements in eV/atom: 0.15
Space-group type: F-43m, No. 216

Cell: 5.6739 5.6739 5.6739 Å, 60.00 60.00 60.00°
Last column: magnetic moment on the atom in μB.
Fractional coordinates of all 4 atoms:
1 Pu 0.2500 0.2500 0.2500  5.81
2 Ac 0.5000 0.5000 0.5000  0.42
3 Ca 0.7500 0.7500 0.7500  0.13
4 Tl 0.0000 0.0000 0.0000  -0.04